Record 1
# Cd3CoAu meta-GGA SCAN PBEsol geometry
data_Cd3CoAu
_cell_length_a 5.100
_cell_length_b 5.100
_cell_length_c 5.100
_cell_angle_alpha 90.00
_cell_angle_beta 90.00
_cell_angle_gamma 90.00
_symmetry_space_group_name_H-M 'P 1'
_symmetry_Int_Tables_number 1
loop_
_symmetry_equiv_pos_as_xyz
'x,y,z'
loop_
_atom_site_label
_atom_site_fract_x
_atom_site_fract_y
_atom_site_fract_z
Co1 0.500 0.500 0.500
Au1 0.000 0.000 0.000
Cd1 0.000 0.500 0.000
Cd2 0.000 0.000 0.500
Cd3 0.500 0.000 0.000
# Formation enthalpy at 0 K in eV/atom: 0.729

Record 2
# CdCo2Au meta-GGA SCAN PBEsol geometry
data_CdCo2Au
_cell_length_a 3.909
_cell_length_b 3.909
_cell_length_c 4.612
_cell_angle_alpha 115.07
_cell_angle_beta 115.07
_cell_angle_gamma 90.00
_symmetry_space_group_name_H-M 'P 1'
_symmetry_Int_Tables_number 1
loop_
_symmetry_equiv_pos_as_xyz
'x,y,z'
loop_
_atom_site_label
_atom_site_fract_x
_atom_site_fract_y
_atom_site_fract_z
Co1 0.750 0.250 0.500
Co2 0.250 0.750 0.500
Au1 0.500 0.500 0.000
Cd1 0.000 0.000 0.000
# Formation enthalpy at 0 K in eV/atom: 0.246

Record 3
# CdCoAu3 meta-GGA SCAN PBEsol geometry
data_CdCoAu3
_cell_length_a 4.682
_cell_length_b 4.682
_cell_length_c 4.682
_cell_angle_alpha 90.00
_cell_angle_beta 90.00
_cell_angle_gamma 90.00
_symmetry_space_group_name_H-M 'P 1'
_symmetry_Int_Tables_number 1
loop_
_symmetry_equiv_pos_as_xyz
'x,y,z'
loop_
_atom_site_label
_atom_site_fract_x
_atom_site_fract_y
_atom_site_fract_z
Co1 0.000 0.000 0.000
Au1 0.000 0.500 0.000
Au2 0.000 0.000 0.500
Au3 0.500 0.000 0.000
Cd1 0.500 0.500 0.500
# Formation enthalpy at 0 K in eV/atom: 0.579

Record 4
# CdCo2AuO meta-GGA SCAN PBEsol geometry
data_CdCo2AuO
_cell_length_a 3.709
_cell_length_b 3.709
_cell_length_c 5.329
_cell_angle_alpha 90.00
_cell_angle_beta 90.00
_cell_angle_gamma 90.00
_symmetry_space_group_name_H-M 'P 1'
_symmetry_Int_Tables_number 1
loop_
_symmetry_equiv_pos_as_xyz
'x,y,z'
loop_
_atom_site_label
_atom_site_fract_x
_atom_site_fract_y
_atom_site_fract_z
Co1 0.000 0.500 0.000
Co2 0.500 0.000 0.000
Au1 0.000 0.000 0.500
O1 0.000 0.000 0.000
Cd1 0.500 0.500 0.500
# Energy relative to the elements, uncorrected in eV/atom: -0.010

Record 5
# Cr2CdAu meta-GGA SCAN PBEsol geometry
data_Cr2CdAu
_cell_length_a 2.636
_cell_length_b 4.957
_cell_length_c 4.957
_cell_angle_alpha 115.59
_cell_angle_beta 90.00
_cell_angle_gamma 90.00
_symmetry_space_group_name_H-M 'P 1'
_symmetry_Int_Tables_number 1
loop_
_symmetry_equiv_pos_as_xyz
'x,y,z'
loop_
_atom_site_label
_atom_site_fract_x
_atom_site_fract_y
_atom_site_fract_z
Au1 0.500 0.000 0.000
Cd1 0.500 0.500 0.500
Cr1 0.000 0.500 0.000
Cr2 0.000 0.000 0.500
# Formation enthalpy at 0 K in eV/atom: 0.590

Record 6
# CrCd3Au meta-GGA SCAN PBEsol geometry
data_CrCd3Au
_cell_length_a 5.097
_cell_length_b 5.097
_cell_length_c 5.097
_cell_angle_alpha 90.00
_cell_angle_beta 90.00
_cell_angle_gamma 90.00
_symmetry_space_group_name_H-M 'P 1'
_symmetry_Int_Tables_number 1
loop_
_symmetry_equiv_pos_as_xyz
'x,y,z'
loop_
_atom_site_label
_atom_site_fract_x
_atom_site_fract_y
_atom_site_fract_z
Cr1 0.000 0.000 0.000
Au1 0.500 0.500 0.500
Cd1 0.000 0.500 0.000
Cd2 0.000 0.000 0.500
Cd3 0.500 0.000 0.000
# Formation enthalpy at 0 K in eV/atom: 0.728

Record 7
# Cr2CdAu meta-GGA SCAN PBEsol geometry
data_Cr2CdAu
_cell_length_a 3.001
_cell_length_b 3.001
_cell_length_c 6.752
_cell_angle_alpha 90.00
_cell_angle_beta 90.00
_cell_angle_gamma 90.00
_symmetry_space_group_name_H-M 'P 1'
_symmetry_Int_Tables_number 1
loop_
_symmetry_equiv_pos_as_xyz
'x,y,z'
loop_
_atom_site_label
_atom_site_fract_x
_atom_site_fract_y
_atom_site_fract_z
Au1 0.000 0.000 0.474
Cd1 0.500 0.500 0.765
Cr1 0.000 0.000 0.053
Cr2 0.500 0.500 0.209
# Formation enthalpy at 0 K in eV/atom: -0.003

Record 8
# Cr2CdAu meta-GGA SCAN PBEsol geometry
data_Cr2CdAu
_cell_length_a 2.849
_cell_length_b 2.849
_cell_length_c 8.777
_cell_angle_alpha 80.66
_cell_angle_beta 80.66
_cell_angle_gamma 60.00
_symmetry_space_group_name_H-M 'P 1'
_symmetry_Int_Tables_number 1
loop_
_symmetry_equiv_pos_as_xyz
'x,y,z'
loop_
_atom_site_label
_atom_site_fract_x
_atom_site_fract_y
_atom_site_fract_z
Au1 0.492 0.492 0.525
Cd1 0.255 0.255 0.235
Cr1 0.015 0.015 0.955
Cr2 0.738 0.738 0.785
# Formation enthalpy at 0 K in eV/atom: 0.266

Record-wise E values, in Ha/atom: -1.279 -1.224 -1.854 -1.032 -1.231 -1.287 -1.253 -1.243
Record-wise total moment values, in Bohr magnetons per cell: 2.60 3.66 2.32 3.87 0.00 4.77 0.03 0.00